Entry 1:
The following is a PBE-GGA calculation of a geometry-optimized La2In2Ga structure, from Alexandria.

The structure in CIF format:
```
data_La2In2Ga
_cell_length_a 11.780
_cell_length_b 4.789
_cell_length_c 11.673
_cell_angle_alpha 90.00
_cell_angle_beta 118.46
_cell_angle_gamma 90.00
_space_group_name_H-M_alt 'C 1 2/m 1'
_space_group_IT_number 12
loop_
_space_group_symop_operation_xyz
'x,y,z'
'-x,-y,-z'
'-x,y,-z'
'x,-y,z'
'x+1/2,y+1/2,z'
'-x+1/2,-y+1/2,-z'
'-x+1/2,y+1/2,-z'
'x+1/2,-y+1/2,z'
loop_
_atom_site_label
_atom_site_type_symbol
_atom_site_fract_x
_atom_site_fract_y
_atom_site_fract_z
La1 La 0.044 0.000 0.342
La2 La 0.187 0.000 0.089
In1 In 0.010 0.500 0.876
In2 In 0.141 0.500 0.568
Ga1 Ga 0.249 0.000 0.701
```

Output
The energy of formation is -12.08 kcal/mol of atoms. The relative energy among the computed polymorphs is 0 meV/atom. For the theoretical density, the calculation gives 6.6 g cm⁻³.

---

Entry 2:
The following is a PBE-GGA calculation of a geometry-optimized PuHg2S4 structure, from Alexandria.

The structure in CIF format:
```
data_PuHg2S4
_cell_length_a 4.004
_cell_length_b 13.805
_cell_length_c 11.813
_cell_angle_alpha 90.00
_cell_angle_beta 90.00
_cell_angle_gamma 90.00
_space_group_name_H-M_alt 'C m c m'
_space_group_IT_number 63
_space_group_name_Hall '-C 2c 2'
loop_
_atom_site_label
_atom_site_type_symbol
_atom_site_fract_x
_atom_site_fract_y
_atom_site_fract_z
Pu1 Pu 0.000 0.095 0.250
Hg1 Hg 0.000 0.370 0.061
S1 S 0.000 0.000 0.000
S2 S 0.000 0.300 0.631
S3 S 0.000 0.451 0.250
```

Output
For the theoretical density, the calculation gives 7.9 g cm⁻³. The formation energy from raw total energies comes out at -3.49 eV per formula unit.

---

Entry 3:
The following is a PBE-GGA calculation of a geometry-optimized ReBrO2F structure, from Alexandria.

The structure in CIF format:
```
data_ReBrO2F
_cell_length_a 3.839
_cell_length_b 3.839
_cell_length_c 5.502
_cell_angle_alpha 90.00
_cell_angle_beta 90.00
_cell_angle_gamma 90.00
_space_group_name_H-M_alt 'P 4/m m m'
_space_group_IT_number 123
_space_group_name_Hall '-P 4 2'
loop_
_atom_site_label
_atom_site_type_symbol
_atom_site_fract_x
_atom_site_fract_y
_atom_site_fract_z
Re1 Re 0.000 0.000 0.000
Br1 Br 0.500 0.500 0.500
O1 O 0.000 0.500 0.500
F1 F 0.500 0.500 0.000
```

Output
For the theoretical density, the calculation gives 6.5 g cm⁻³. The formation energy from raw total energies comes out at 5.56 eV per formula unit.

---

Entry 4:
The following is a PBE-GGA calculation of a geometry-optimized Hg4C5 structure, from Alexandria.

The structure in CIF format:
```
data_Hg4C5
_cell_length_a 6.6525
_cell_length_b 6.6525
_cell_length_c 8.3139
_cell_angle_alpha 90.00
_cell_angle_beta 90.00
_cell_angle_gamma 120.00
_space_group_name_H-M_alt 'P 63/m c m'
_space_group_IT_number 193
_space_group_name_Hall '-P 6c 2'
loop_
_atom_site_label
_atom_site_type_symbol
_atom_site_fract_x
_atom_site_fract_y
_atom_site_fract_z
Hg1 Hg 0.0000 0.0000 0.0000
Hg2 Hg 0.0000 0.4699 0.2500
C1 C 0.0000 0.1288 0.2500
C2 C 0.3333 0.6667 0.0000
```

Output
The energy of formation is 57.27 kcal/mol of atoms. The relative energy among the computed polymorphs is 1319 meV/atom. For the theoretical density, the calculation gives 9.0 g cm⁻³.

---

Entry 5:
The following is a PBE-GGA calculation of a geometry-optimized YTlSiSb2 structure, from Alexandria.

The structure in CIF format:
```
data_YTlSiSb2
_cell_length_a 5.315
_cell_length_b 5.315
_cell_length_c 5.385
_cell_angle_alpha 90.00
_cell_angle_beta 90.00
_cell_angle_gamma 90.00
_space_group_name_H-M_alt 'P 4/m m m'
_space_group_IT_number 123
_space_group_name_Hall '-P 4 2'
loop_
_atom_site_label
_atom_site_type_symbol
_atom_site_fract_x
_atom_site_fract_y
_atom_site_fract_z
Y1 Y 0.000 0.000 0.000
Tl1 Tl 0.500 0.500 0.000
Si1 Si 0.000 0.000 0.500
Sb1 Sb 0.000 0.500 0.500
```

Output
For the theoretical density, the calculation gives 6.2 g cm⁻³. The formation energy from raw total energies comes out at 0.80 eV per formula unit.

---

Entry 6:
The following is a PBE-GGA calculation of a geometry-optimized PaPbC2O8 structure, from Alexandria.

The structure in CIF format:
```
data_PaPbC2O8
_cell_length_a 8.324
_cell_length_b 5.207
_cell_length_c 7.644
_cell_angle_alpha 90.00
_cell_angle_beta 90.17
_cell_angle_gamma 90.00
_space_group_name_H-M_alt 'C 1 2/m 1'
_space_group_IT_number 12
loop_
_space_group_symop_operation_xyz
'x,y,z'
'-x,-y,-z'
'-x,y,-z'
'x,-y,z'
'x+1/2,y+1/2,z'
'-x+1/2,-y+1/2,-z'
'-x+1/2,y+1/2,-z'
'x+1/2,-y+1/2,z'
loop_
_atom_site_label
_atom_site_type_symbol
_atom_site_fract_x
_atom_site_fract_y
_atom_site_fract_z
Pa1 Pa 0.000 0.000 0.000
Pb1 Pb 0.000 0.000 0.500
C1 C 0.147 0.500 0.240
O1 O 0.052 0.280 0.211
O2 O 0.205 0.500 0.405
O3 O 0.231 0.000 0.890
```

Output
For the theoretical density, the calculation gives 5.9 g cm⁻³. The formation energy from raw total energies comes out at -20.23 eV per formula unit.

---

Entry 7:
The following is a PBE-GGA calculation of a geometry-optimized PmLuMnAl structure, from Alexandria.

The structure in CIF format:
```
data_PmLuMnAl
_cell_length_a 7.197
_cell_length_b 7.197
_cell_length_c 7.197
_cell_angle_alpha 90.00
_cell_angle_beta 90.00
_cell_angle_gamma 90.00
_space_group_name_H-M_alt 'F -4 3 m'
_space_group_IT_number 216
_space_group_name_Hall 'F -4 2 3'
loop_
_atom_site_label
_atom_site_type_symbol
_atom_site_fract_x
_atom_site_fract_y
_atom_site_fract_z
Pm1 Pm 0.000 0.000 0.000
Lu1 Lu 0.000 0.000 0.500
Mn1 Mn 0.250 0.250 0.250
Al1 Al 0.250 0.250 0.750
```

Output
The energy of formation is -1.27 kcal/mol of atoms. For the theoretical density, the calculation gives 7.2 g cm⁻³.

---

Entry 8:
The following is a PBE-GGA calculation of a geometry-optimized PaTeBrO structure, from Alexandria.

The structure in CIF format:
```
data_PaTeBrO
_cell_length_a 3.9031
_cell_length_b 3.9031
_cell_length_c 24.4367
_cell_angle_alpha 90.00
_cell_angle_beta 90.00
_cell_angle_gamma 120.00
_space_group_name_H-M_alt 'R 3 m'
_space_group_IT_number 160
_space_group_name_Hall 'R 3 -2"'
loop_
_atom_site_label
_atom_site_type_symbol
_atom_site_fract_x
_atom_site_fract_y
_atom_site_fract_z
Pa1 Pa 0.0000 0.0000 0.0000
Te1 Te 0.0000 0.0000 0.7555
Br1 Br 0.0000 0.0000 0.5778
O1 O 0.0000 0.0000 0.3277
```

Output
For the theoretical density, the calculation gives 7.0 g cm⁻³. The formation energy from raw total energies comes out at -7.97 eV per formula unit.

---

Entry 9:
The following is a PBE-GGA calculation of a geometry-optimized Nd5DyTe8 structure, from Alexandria.

The structure in CIF format:
```
data_Nd5DyTe8
_cell_length_a 9.483
_cell_length_b 9.483
_cell_length_c 9.563
_cell_angle_alpha 90.00
_cell_angle_beta 90.00
_cell_angle_gamma 90.00
_space_group_name_H-M_alt 'I -4'
_space_group_IT_number 82
loop_
_space_group_symop_operation_xyz
'x,y,z'
'y,-x,-z'
'-x,-y,z'
'-y,x,-z'
'x+1/2,y+1/2,z+1/2'
'y+1/2,-x+1/2,-z+1/2'
'-x+1/2,-y+1/2,z+1/2'
'-y+1/2,x+1/2,-z+1/2'
loop_
_atom_site_label
_atom_site_type_symbol
_atom_site_fract_x
_atom_site_fract_y
_atom_site_fract_z
Nd1 Nd 0.000 0.000 0.000
Nd2 Nd 0.119 0.251 0.375
Dy1 Dy 0.000 0.500 0.750
Te1 Te 0.073 0.181 0.701
Te2 Te 0.076 0.325 0.049
```

Output
For the theoretical density, the calculation gives 7.4 g cm⁻³. The formation energy from raw total energies comes out at -19.64 eV per formula unit.

---

Entry 10:
The following is a PBE-GGA calculation of a geometry-optimized GaCoCu2H6 structure, from Alexandria.

The structure in CIF format:
```
data_GaCoCu2H6
_cell_length_a 4.519
_cell_length_b 4.826
_cell_length_c 4.884
_cell_angle_alpha 62.90
_cell_angle_beta 63.18
_cell_angle_gamma 62.95
_space_group_name_H-M_alt 'P 1'
_space_group_IT_number 1
loop_
_space_group_symop_operation_xyz
'x,y,z'
loop_
_atom_site_label
_atom_site_type_symbol
_atom_site_fract_x
_atom_site_fract_y
_atom_site_fract_z
Ga1 Ga 0.000 0.000 0.000
Co1 Co 0.473 0.780 0.266
Cu1 Cu 0.191 0.351 0.388
Cu2 Cu 0.650 0.588 0.789
H1 H 0.165 0.632 0.533
H2 H 0.245 0.153 0.139
H3 H 0.371 0.914 0.558
H4 H 0.602 0.441 0.198
H5 H 0.728 0.472 0.472
H6 H 0.732 0.849 0.910
```

Output
The calculation puts the total energy at -0.138 hartree per atom. For the theoretical density, the calculation gives 5.4 g cm⁻³.